1.
The following is a DFT calculation (PBE-GGA) of crystalline PmPuOs at its relaxed geometry.

Output
- Formation enthalpy at 0 K: 0.162 eV per atom
- Spin magnetization: 5.150 Bohr magnetons per cell

```
data_PmPuOs
_chemical_formula_sum 'Pm1 Pu1 Os1'
_symmetry_space_group_name_H-M 'P 1'
_symmetry_Int_Tables_number 1
_symmetry_space_group_name_Hall 'P 1'
_cell_length_a 4.241
_cell_length_b 4.497
_cell_length_c 4.497
_cell_angle_alpha 120.00
_cell_angle_beta 90.00
_cell_angle_gamma 90.00
loop_
_atom_site_label
_atom_site_fract_x
_atom_site_fract_y
_atom_site_fract_z
Pu1 0.167 0.333 0.667
Os1 0.166 0.000 0.000
Pm1 0.667 0.667 0.333
```


2.
The following is a DFT calculation (PBE-GGA) of crystalline PmPuOs at its relaxed geometry.

Output
- Formation enthalpy at 0 K: 0.064 eV per atom
- Spin magnetization: 4.856 Bohr magnetons per cell

```
data_PmPuOs
_chemical_formula_sum 'Pm1 Pu1 Os1'
_symmetry_space_group_name_H-M 'P 1'
_symmetry_Int_Tables_number 1
_symmetry_space_group_name_Hall 'P 1'
_cell_length_a 3.599
_cell_length_b 3.599
_cell_length_c 6.044
_cell_angle_alpha 107.32
_cell_angle_beta 107.32
_cell_angle_gamma 90.00
loop_
_atom_site_label
_atom_site_fract_x
_atom_site_fract_y
_atom_site_fract_z
Pu1 0.297 0.297 0.593
Pm1 0.010 0.010 0.020
Os1 0.693 0.693 0.387
```


3.
The following is a DFT calculation (PBE-GGA) of crystalline PmPu2Os at its relaxed geometry.

Output
- Formation enthalpy at 0 K: 0.103 eV per atom
- Spin magnetization: 10.382 Bohr magnetons per cell

```
data_PmPu2Os
_chemical_formula_sum 'Pm1 Pu2 Os1'
_symmetry_space_group_name_H-M 'P 1'
_symmetry_Int_Tables_number 1
_symmetry_space_group_name_Hall 'P 1'
_cell_length_a 3.474
_cell_length_b 3.474
_cell_length_c 8.256
_cell_angle_alpha 90.00
_cell_angle_beta 90.00
_cell_angle_gamma 90.00
loop_
_atom_site_label
_atom_site_fract_x
_atom_site_fract_y
_atom_site_fract_z
Os1 0.500 0.500 0.000
Pu1 0.000 0.000 0.192
Pm1 0.500 0.500 0.500
Pu2 0.000 0.000 0.808
```